Entry 1:
CaPrZr: optimized geometry, GGA-PBE.

Values from the calculation:
* DFT formation energy: 0.20 eV per atom

a = 3.4586 Å, b = 3.4586 Å, c = 8.4508 Å
α = 101.81°, β = 101.81°, γ = 90.00°
Last column: nearest neighbours and their distance in Å.
Atoms (fractional coordinates):
Pr 0.3147 0.3147 0.6295  4 Zr 3.34, 4 Pr 3.46
Ca 0.0110 0.0110 0.0221  4 Ca 3.46, 4 Zr 3.60
Zr 0.6742 0.6742 0.3484  4 Pr 3.34, 4 Zr 3.46, 4 Ca 3.60

Entry 2:
Ca4Pt3: optimized geometry, GGA-PBE.

Values from the calculation:
* offset from the most stable computed form: 160.0 meV per atom
* DFT formation energy: -0.69 eV per atom

a = 5.6596 Å, b = 5.6596 Å, c = 5.6596 Å
α = 89.28°, β = 89.28°, γ = 89.28°
Last column: nearest neighbours and their distance in Å.
Atoms (fractional coordinates):
Ca 0.7899 0.7899 0.7899  6 Pt 2.95, 3 Ca 3.29
Ca 0.1988 0.7810 0.3705  4 Pt 2.83-3.04
Ca 0.3705 0.1988 0.7810  4 Pt 2.83-3.04
Ca 0.7810 0.3705 0.1988  4 Pt 2.83-3.04
Pt 0.2899 0.6801 0.8898  6 Ca 2.83-3.04
Pt 0.6801 0.8898 0.2899  6 Ca 2.83-3.04
Pt 0.8898 0.2899 0.6801  6 Ca 2.83-3.04

Entry 3:
CaPt7: optimized geometry, GGA-PBE.

Values from the calculation:
* DFT formation energy: -0.31 eV per atom

a = 5.6934 Å, b = 5.6934 Å, c = 5.6934 Å
α = 120.00°, β = 120.00°, γ = 60.00°
Last column: nearest neighbours and their distance in Å.
Atoms (fractional coordinates):
Ca 0.0000 0.0000 0.0000  12 Pt 2.85
Pt 0.5000 0.0000 0.5000  10 Pt 2.85, 2 Ca 2.85
Pt 0.5000 0.0000 0.0000  2 Ca 2.85, 10 Pt 2.85
Pt 0.0000 0.0000 0.5000  10 Pt 2.85, 2 Ca 2.85
Pt 0.5000 0.5000 0.0000  10 Pt 2.85, 2 Ca 2.85
Pt 0.0000 0.5000 0.5000  10 Pt 2.85, 2 Ca 2.85
Pt 0.0000 0.5000 0.0000  10 Pt 2.85, 2 Ca 2.85
Pt 0.5000 0.5000 0.5000  12 Pt 2.85

Entry 4:
Ca2Pt: optimized geometry, GGA-PBE.

Values from the calculation:
* DFT formation energy: -0.66 eV per atom

a = 4.9478 Å, b = 4.9478 Å, c = 3.4857 Å
α = 90.00°, β = 90.00°, γ = 90.00°
Last column: nearest neighbours and their distance in Å.
Atoms (fractional coordinates):
Ca 0.0000 0.5000 0.5000  4 Pt 3.03
Ca 0.5000 0.0000 0.5000  4 Pt 3.03
Pt 0.0000 0.0000 0.0000  8 Ca 3.03

Entry 5:
CaPt4: optimized geometry, GGA-PBE.

Values from the calculation:
* offset from the most stable computed form: 1068.4 meV per atom
* DFT formation energy: 0.70 eV per atom

a = 5.1440 Å, b = 5.1440 Å, c = 5.1440 Å
α = 109.47°, β = 109.47°, γ = 109.47°
Last column: nearest neighbours and their distance in Å.
Atoms (fractional coordinates):
Ca 0.0000 0.0000 0.0000  8 Pt 2.57
Pt 0.0000 0.5000 0.0000  2 Ca 2.57
Pt 0.0000 0.0000 0.5000  2 Ca 2.57
Pt 0.5000 0.5000 0.5000  2 Ca 2.57
Pt 0.5000 0.0000 0.0000  2 Ca 2.57

Entry 6:
Ca3Pt: optimized geometry, GGA-PBE.

Values from the calculation:
* DFT formation energy: -0.08 eV per atom

a = 6.0526 Å, b = 6.0526 Å, c = 6.0526 Å
α = 115.98°, β = 115.98°, γ = 115.98°
Last column: nearest neighbours and their distance in Å.
Atoms (fractional coordinates):
Ca 0.0000 0.0000 0.0000  4 Ca 3.21, 2 Pt 3.21
Ca 0.0000 0.5000 0.5000  4 Ca 3.21, 2 Pt 3.21
Ca 0.5000 0.5000 0.0000  2 Pt 3.21, 4 Ca 3.21
Pt 0.5000 0.0000 0.5000  6 Ca 3.21

Entry 7:
Ca3Pt4: optimized geometry, GGA-PBE.

Values from the calculation:
* offset from the most stable computed form: 0.0 meV per atom
* DFT formation energy: -0.61 eV per atom

a = 5.2818 Å, b = 5.2818 Å, c = 5.2818 Å
α = 99.89°, β = 99.89°, γ = 99.89°
Last column: nearest neighbours and their distance in Å.
Atoms (fractional coordinates):
Ca 0.5809 0.0250 0.6811  7 Pt 2.86-3.16, 2 Ca 3.08
Ca 0.6811 0.5809 0.0250  7 Pt 2.86-3.16, 2 Ca 3.08
Ca 0.0250 0.6811 0.5809  7 Pt 2.86-3.16, 2 Ca 3.08
Pt 0.8789 0.1417 0.2732  3 Pt 2.81-2.88, 4 Ca 2.93-3.10
Pt 0.1417 0.2732 0.8789  3 Pt 2.81-2.88, 4 Ca 2.93-3.10
Pt 0.2732 0.8789 0.1417  3 Pt 2.81-2.88, 4 Ca 2.93-3.10
Pt 0.4192 0.4192 0.4192  6 Ca 2.86-3.16, 6 Pt 2.88-3.18

Entry 8:
CaPt: optimized geometry, GGA-PBE.

Values from the calculation:
* DFT formation energy: -0.37 eV per atom

a = 7.2135 Å, b = 5.8998 Å, c = 6.2302 Å
α = 90.00°, β = 90.00°, γ = 89.09°
Last column: nearest neighbours and their distance in Å.
Atoms (fractional coordinates):
Ca 0.0000 0.0000 0.9896  4 Pt 2.86-2.95, 1 Ca 2.99
Ca 0.6116 0.2407 0.2500  2 Pt 2.82
Ca 0.0000 0.5000 0.7500  4 Pt 2.84, 2 Ca 3.12
Ca 0.3884 0.7593 0.2500  2 Pt 2.82
Ca 0.0000 0.0000 0.5104  4 Pt 2.86-2.95, 1 Ca 2.99
Ca 0.0000 0.5000 0.2500  4 Pt 3.03, 8 Ca 3.12-3.37
Pt 0.3063 0.3012 0.5292  3 Pt 2.75-3.06, 4 Ca 2.82-3.03
Pt 0.6937 0.6988 0.9708  3 Pt 2.75-3.06, 4 Ca 2.82-3.03
Pt 0.6664 0.1472 0.7500  5 Ca 2.95-3.21, 5 Pt 2.98-3.06
Pt 0.3063 0.3012 0.9708  3 Pt 2.75-3.06, 4 Ca 2.82-3.03
Pt 0.6937 0.6988 0.5292  3 Pt 2.75-3.06, 4 Ca 2.82-3.03
Pt 0.3336 0.8528 0.7500  5 Ca 2.95-3.21, 5 Pt 2.98-3.06

Entry 9:
Ca2Pt: optimized geometry, GGA-PBE.

Values from the calculation:
* DFT formation energy: -0.64 eV per atom

a = 4.1681 Å, b = 4.1681 Å, c = 6.4871 Å
α = 90.00°, β = 90.00°, γ = 120.00°
Last column: nearest neighbours and their distance in Å.
Atoms (fractional coordinates):
Ca 0.0000 0.0000 0.0964  3 Pt 2.86
Ca 0.3333 0.6667 0.5703  3 Pt 2.86
Pt 0.6667 0.3333 0.3333  6 Ca 2.86

Entry 10:
CaPt: optimized geometry, GGA-PBE.

Values from the calculation:
* DFT formation energy: -0.58 eV per atom

a = 7.0166 Å, b = 7.0166 Å, c = 4.5640 Å
α = 90.00°, β = 90.00°, γ = 128.37°
Last column: nearest neighbours and their distance in Å.
Atoms (fractional coordinates):
Ca 0.7289 0.7289 0.0000  1 Ca 2.80, 4 Pt 3.00
Ca 0.1703 0.8297 0.5000  5 Pt 2.81-2.93
Ca 0.8297 0.1703 0.5000  5 Pt 2.81-2.93
Ca 0.2711 0.2711 0.0000  1 Ca 2.80, 4 Pt 3.00
Pt 0.5000 0.0000 0.0000  6 Ca 2.93-3.16, 2 Pt 3.06
Pt 0.6072 0.3928 0.5000  1 Pt 2.71, 5 Ca 2.81-3.00
Pt 0.0000 0.5000 0.0000  6 Ca 2.93-3.16, 2 Pt 3.06
Pt 0.3928 0.6072 0.5000  1 Pt 2.71, 5 Ca 2.81-3.00

Entry 11:
Ca2Pt: optimized geometry, GGA-PBE.

Values from the calculation:
* DFT formation energy: -0.73 eV per atom

a = 7.0711 Å, b = 7.0711 Å, c = 7.0711 Å
α = 90.00°, β = 90.00°, γ = 90.00°
Last column: nearest neighbours and their distance in Å.
Atoms (fractional coordinates):
Ca 0.1662 0.6662 0.8338  3 Pt 2.89
Ca 0.1662 0.8338 0.3338  3 Pt 2.89
Ca 0.3338 0.1662 0.8338  3 Pt 2.89
Ca 0.3338 0.3338 0.3338  3 Pt 2.89
Ca 0.6662 0.6662 0.6662  3 Pt 2.89
Ca 0.6662 0.8338 0.1662  3 Pt 2.89
Ca 0.8338 0.1662 0.6662  3 Pt 2.89
Ca 0.8338 0.3338 0.1662  3 Pt 2.89
Pt 0.0000 0.0000 0.0000  6 Ca 2.89
Pt 0.0000 0.5000 0.5000  6 Ca 2.89
Pt 0.5000 0.0000 0.5000  6 Ca 2.89
Pt 0.5000 0.5000 0.0000  6 Ca 2.89

Entry 12:
CaPt5: optimized geometry, GGA-PBE.

Values from the calculation:
* DFT formation energy: -0.34 eV per atom

a = 4.9165 Å, b = 4.9925 Å, c = 5.0434 Å
α = 119.67°, β = 80.12°, γ = 110.29°
Last column: nearest neighbours and their distance in Å.
Atoms (fractional coordinates):
Ca 0.0000 0.0000 0.0000  12 Pt 2.83-2.96
Pt 0.5000 0.8207 0.6414  9 Pt 2.79-2.95, 2 Ca 2.92
Pt 0.0000 0.6624 0.3247  9 Pt 2.82-2.93, 3 Ca 2.87-2.96
Pt 0.5000 0.5000 0.0000  10 Pt 2.81-2.95, 2 Ca 2.83
Pt 0.0000 0.3376 0.6753  9 Pt 2.82-2.93, 3 Ca 2.87-2.96
Pt 0.5000 0.1793 0.3586  9 Pt 2.79-2.95, 2 Ca 2.92

| no. | total DFT energy (no corrections) (hartree per atom) |
| --- | --- |
| 1 | -0.180 |
| 2 | -0.163 |
| 3 | -0.215 |
| 4 | -0.147 |
| 5 | -0.167 |
| 6 | -0.114 |
| 7 | -0.181 |
| 8 | -0.161 |
| 9 | -0.146 |
| 10 | -0.169 |
| 11 | -0.150 |
| 12 | -0.210 |